K3VF8: optimized geometry, PBE+U.

Summary:
Uncorrected energy = -57.13 eV for the cell shown
Magnetization = 0.22 μB/f.u.

```
data_K3VF8
_chemical_formula_sum 'K3 V1 F8'
_cell_length_a 7.2583
_cell_length_b 7.2583
_cell_length_c 7.5877
_cell_angle_alpha 90.00
_cell_angle_beta 90.00
_cell_angle_gamma 131.28
_symmetry_space_group_name_H-M 'P 1'
_symmetry_Int_Tables_number 1
_symmetry_space_group_name_Hall 'P 1'
loop_
_atom_site_label
_atom_site_type_symbol
_atom_site_fract_x
_atom_site_fract_y
_atom_site_fract_z
K1 K 0.0000 0.0000 0.0000
K2 K 0.0000 0.5000 0.7723
K3 K 0.5000 0.0000 0.2277
V1 V 0.0000 0.0000 0.5000
F1 F 0.1388 0.8612 0.5000
F2 F 0.1845 0.8155 0.0000
F3 F 0.2094 0.2189 0.6698
F4 F 0.2189 0.2094 0.3302
F5 F 0.7811 0.7906 0.3302
F6 F 0.7906 0.7811 0.6698
F7 F 0.8155 0.1845 0.0000
F8 F 0.8612 0.1388 0.5000
```